First-principles (GGA+U) data for a relaxed NiPRuO2 crystal, as listed in the Alexandria database.

abc: 3.544 3.544 4.860
angles: 90.00 90.00 90.00
Space group P4/mmm (No. 123)
Asymmetric unit:
1 Ni 0.000 0.000 0.000
2 P 0.000 0.000 0.500
3 Ru 0.500 0.500 0.500
4 O 0.000 0.500 0.000

Calculated values
Energy above the most stable polymorph in this dataset   582 meV per atom
Spin magnetization   1.2 μB per cell